Rb4La3SnO8 after structural relaxation, computed with GGA-PBE.

Results
energy relative to the elements, uncorrected	-2254	meV per atom
DOS at the Fermi energy	2.31	states/eV/f.u.
SG	R-3m (166)
theoretical density	5.34	g cm⁻³

Structure (extended XYZ):
```
16
Lattice="-0.8278 -2.2716 6.9886 -4.5406 -5.9237 -2.4633 6.7697 0.6300 -2.9059" Properties=species:S:1:pos:R:3 pbc="T T T"
Rb -0.4139 -1.1358 3.4943
Rb 2.9709 -0.8208 2.0413
Rb 0.0000 0.0000 0.0000
Rb 3.3848 0.3150 -1.4530
La -2.6842 -4.0977 2.2627
La 0.7006 -3.7827 0.8097
La 1.1145 -2.6469 -2.6846
Sn -2.2703 -2.9618 -1.2317
O 3.2107 -3.9408 -2.9089
O -0.2652 -4.2631 -1.4171
O 2.0222 -2.1762 -0.4679
O 2.7858 -5.1068 0.6782
O -1.3846 -2.4586 0.9411
O -0.6210 -5.3892 2.0872
O 1.6665 -3.3023 3.0365
O -1.8095 -3.6246 4.5283
```